No. 1
First-principles (PBE) data for DyMg2Sc6 after structural relaxation, as listed in Alexandria.

Calculated values
**Space group**: R3
**Calculated formation energy**: 0.23 eV/atom

Unit cell a=6.116 b=6.116 c=7.949 alpha=67.37 beta=67.37 gamma=60.00
Atoms (fractional coordinates):
Dy: 0.378 0.378 0.865
Mg: 0.659 0.659 0.022
Mg: 0.521 0.521 0.436
Sc: 0.907 0.446 0.662
Sc: 0.984 0.907 0.662
Sc: 0.446 0.984 0.662
Sc: 0.140 0.589 0.231
Sc: 0.040 0.140 0.231
Sc: 0.589 0.040 0.231

No. 2
First-principles (PBE) data for Li2PrSmP2 after structural relaxation, as listed in Alexandria.

Calculated values
**Space group**: P-3m1
**Calculated formation energy**: -1.01 eV/atom

Unit cell a=4.163 b=4.163 c=7.793 alpha=90.00 beta=90.00 gamma=120.00
Last column: magnetic moment on the atom in μB.
Atoms (fractional coordinates):
Li: 0.333 0.667 0.747  0.02
Li: 0.667 0.333 0.253  0.02
Pr: 0.000 0.000 0.000  0.09
Sm: 0.000 0.000 0.500  0.12
P: 0.333 0.667 0.259  -0.01
P: 0.667 0.333 0.741  -0.01

No. 3
First-principles (PBE) data for NbAl2I8 after structural relaxation, as listed in Alexandria.

Calculated values
**ΔE_f (raw)**: -519 meV per atom
**Space group**: C2/m

Unit cell a=6.971 b=8.798 c=8.798 alpha=79.43 beta=84.66 gamma=84.66
Last column: magnetic moment on the atom in μB.
Atoms (fractional coordinates):
Nb: 0.000 0.000 0.000  2.26
Al: 0.646 0.810 0.810  0.02
Al: 0.354 0.190 0.190  0.02
I: 0.227 0.271 0.916  0.00
I: 0.773 0.084 0.729  0.00
I: 0.271 0.815 0.815  0.00
I: 0.729 0.185 0.185  0.00
I: 0.227 0.916 0.271  0.00
I: 0.773 0.729 0.084  0.00
I: 0.774 0.628 0.628  0.01
I: 0.226 0.372 0.372  0.01

no.,total magnetic moment (μB per cell),uncorrected energy (eV/atom),volume (Å³ per cell)
1,0.0,-4.856,230.7
2,0.5,-5.033,117.0
3,3.0,-3.242,526.5